This record from Alexandria describes a geometry-optimized Th8Te4P3Os structure. The functional is GGA-PBE.

Structure (POSCAR):
```
Th8Te4P3Os
1.0
8.486 0.000 0.000
0.000 8.851 0.252
-4.243 -4.239 6.003
Th Te P Os
8 4 3 1
direct
0.232 0.708 0.975 Th
0.232 0.708 0.465 Th
0.264 0.293 0.529 Th
0.743 0.708 0.975 Th
0.257 0.292 0.025 Th
0.736 0.707 0.471 Th
0.768 0.292 0.535 Th
0.768 0.292 0.025 Th
0.500 0.000 0.000 Te
0.500 0.000 0.500 Te
0.000 0.000 0.000 Te
0.000 0.000 0.500 Te
0.500 0.500 0.000 P
0.500 0.500 0.500 P
0.000 0.500 0.500 P
0.000 0.500 0.000 Os
```

Summary:
- V (A^3/atom) = 28.7
- electronic total energy (eV/cell) = -118.92
- magnetization (μB per cell) = 0.00